Entry from Alexandria via LeMat-Bulk: CaZn2Ag after structural relaxation (GGA-PBEsol).

Properties
space group	P4/mmm (123)
energy of formation from the pure elements	-0.069	eV/atom

The structure in CIF format:
```
data_CaZn2Ag
_chemical_formula_sum 'Ca1 Zn2 Ag1'
_cell_length_a 4.2176
_cell_length_b 4.2176
_cell_length_c 4.3429
_cell_angle_alpha 90.00
_cell_angle_beta 90.00
_cell_angle_gamma 90.00
_symmetry_space_group_name_H-M 'P 1'
_symmetry_Int_Tables_number 1
loop_
_symmetry_equiv_pos_as_xyz
'x,y,z'
loop_
_atom_site_label
_atom_site_fract_x
_atom_site_fract_y
_atom_site_fract_z
Zn1 0.0000 0.5000 0.0000
Zn2 0.5000 0.0000 0.0000
Ca1 0.0000 0.0000 0.5000
Ag1 0.5000 0.5000 0.5000
```

=====

Entry from Alexandria via LeMat-Bulk: CaZn2Ag after structural relaxation (GGA-PBEsol).

Properties
space group	R-3m (166)
energy of formation from the pure elements	-0.187	eV/atom

The structure in CIF format:
```
data_CaZn2Ag
_chemical_formula_sum 'Ca1 Zn2 Ag1'
_cell_length_a 4.4138
_cell_length_b 4.4138
_cell_length_c 5.4479
_cell_angle_alpha 66.10
_cell_angle_beta 66.10
_cell_angle_gamma 60.00
_symmetry_space_group_name_H-M 'P 1'
_symmetry_Int_Tables_number 1
loop_
_symmetry_equiv_pos_as_xyz
'x,y,z'
loop_
_atom_site_label
_atom_site_fract_x
_atom_site_fract_y
_atom_site_fract_z
Zn1 0.2064 0.2064 0.3808
Zn2 0.7936 0.7936 0.6192
Ca1 0.0000 0.0000 0.0000
Ag1 0.5000 0.5000 0.5000
```

=====

| no. | volume (Å³/f.u.) |
| --- | --- |
| 1 | 77.3 |
| 2 | 81.2 |